[1]
# CeGa12Ir6 (PBE, optimized geometry)
# Density of states at the Fermi level in states/eV/cell: 12.82
# M_tot in μB per formula unit: 1.22
# ΔH_f (0 K) in eV per formula unit: -8.21
data_CeGa12Ir6
_chemical_formula_sum 'Ce1 Ga12 Ir6'
_symmetry_space_group_name_H-M 'P 1'
_symmetry_Int_Tables_number 1
_symmetry_space_group_name_Hall 'P 1'
_cell_length_a 7.243
_cell_length_b 7.243
_cell_length_c 7.243
_cell_angle_alpha 105.37
_cell_angle_beta 105.37
_cell_angle_gamma 105.37
loop_
_atom_site_label
_atom_site_type_symbol
_atom_site_fract_x
_atom_site_fract_y
_atom_site_fract_z
Ga1 Ga 0.873 0.594 0.594
Ga2 Ga 0.884 0.116 0.500
Ga3 Ga 0.594 0.873 0.594
Ga4 Ga 0.406 0.127 0.406
Ga5 Ga 0.116 0.500 0.884
Ga6 Ga 0.127 0.406 0.406
Ga7 Ga 0.406 0.406 0.127
Ga8 Ga 0.116 0.884 0.500
Ga9 Ga 0.500 0.884 0.116
Ga10 Ga 0.594 0.594 0.873
Ga11 Ga 0.884 0.500 0.116
Ga12 Ga 0.500 0.116 0.884
Ir1 Ir 0.273 0.273 0.689
Ir2 Ir 0.727 0.311 0.727
Ir3 Ir 0.689 0.273 0.273
Ir4 Ir 0.311 0.727 0.727
Ir5 Ir 0.273 0.689 0.273
Ir6 Ir 0.727 0.727 0.311
Ce1 Ce 0.000 0.000 0.000

---

[2]
# PrDyLuGa (PBE, optimized geometry)
# Density of states at the Fermi level in states/eV/cell: 6.68
# M_tot in μB per formula unit: 0.32
# ΔH_f (0 K) in eV per formula unit: -0.43
data_PrDyLuGa
_chemical_formula_sum 'Pr1 Dy1 Lu1 Ga1'
_symmetry_space_group_name_H-M 'P 1'
_symmetry_Int_Tables_number 1
_symmetry_space_group_name_Hall 'P 1'
_cell_length_a 5.359
_cell_length_b 5.359
_cell_length_c 5.359
_cell_angle_alpha 60.00
_cell_angle_beta 60.00
_cell_angle_gamma 60.00
loop_
_atom_site_label
_atom_site_type_symbol
_atom_site_fract_x
_atom_site_fract_y
_atom_site_fract_z
Dy1 Dy 0.250 0.250 0.250
Lu1 Lu 0.500 0.500 0.500
Pr1 Pr 0.750 0.750 0.750
Ga1 Ga 0.000 0.000 0.000

---

[3]
# CrBTeRu2 (PBE, optimized geometry)
# Density of states at the Fermi level in states/eV/cell: 7.02
# M_tot in μB per formula unit: 0.86
# Formation energy without anion corrections in eV/atom: 2.31
data_CrBTeRu2
_chemical_formula_sum 'Cr1 B1 Te1 Ru2'
_symmetry_space_group_name_H-M 'P 1'
_symmetry_Int_Tables_number 1
_symmetry_space_group_name_Hall 'P 1'
_cell_length_a 4.829
_cell_length_b 4.261
_cell_length_c 4.829
_cell_angle_alpha 90.00
_cell_angle_beta 90.00
_cell_angle_gamma 90.00
loop_
_atom_site_label
_atom_site_type_symbol
_atom_site_fract_x
_atom_site_fract_y
_atom_site_fract_z
B1 B 0.000 0.500 0.000
Ru1 Ru 0.500 0.000 0.000
Ru2 Ru 0.000 0.000 0.500
Cr1 Cr 0.500 0.500 0.500
Te1 Te 0.000 0.000 0.000

---

[4]
# H4Pd3Pt2 (PBE, optimized geometry)
# Density of states at the Fermi level in states/eV/cell: 6.00
# M_tot in μB per formula unit: 0.00
data_H4Pd3Pt2
_chemical_formula_sum 'H8 Pd6 Pt4'
_symmetry_space_group_name_H-M 'P 1'
_symmetry_Int_Tables_number 1
_symmetry_space_group_name_Hall 'P 1'
_cell_length_a 5.008
_cell_length_b 6.302
_cell_length_c 6.302
_cell_angle_alpha 105.13
_cell_angle_beta 78.52
_cell_angle_gamma 78.52
loop_
_atom_site_label
_atom_site_type_symbol
_atom_site_fract_x
_atom_site_fract_y
_atom_site_fract_z
H1 H 0.142 0.670 0.113
H2 H 0.358 0.887 0.330
H3 H 0.430 0.696 0.747
H4 H 0.070 0.253 0.304
H5 H 0.858 0.330 0.887
H6 H 0.642 0.113 0.670
H7 H 0.570 0.304 0.253
H8 H 0.930 0.747 0.696
Pd1 Pd 0.553 0.776 0.026
Pd2 Pd 0.750 0.375 0.625
Pd3 Pd 0.447 0.224 0.974
Pd4 Pd 0.250 0.625 0.375
Pd5 Pd 0.947 0.974 0.224
Pd6 Pd 0.053 0.026 0.776
Pt1 Pt 0.148 0.568 0.821
Pt2 Pt 0.648 0.821 0.568
Pt3 Pt 0.852 0.432 0.179
Pt4 Pt 0.352 0.179 0.432

---

no.,VASP energy (eV/atom)
1,-5.454
2,-4.340
3,-5.292
4,-4.571